Ce2P2N7 | PBE | relaxed

Unit cell a=5.9084 b=5.9084 c=4.8661 alpha=98.33 beta=98.33 gamma=108.19
Closest atoms and distances in Å follow each position.
Positions (direct):
1 Ce 0.1944 0.8056 0.0000  6 N 2.31-2.41
2 Ce 0.8056 0.1944 0.0000  6 N 2.31-2.41
3 P 0.2931 0.2931 0.6101  4 N 1.62-1.65
4 P 0.7069 0.7069 0.3899  4 N 1.62-1.65
5 N 0.1287 0.4082 0.7881  1 P 1.63
6 N 0.1492 0.1492 0.2916  1 P 1.62
7 N 0.4082 0.1287 0.7881  1 P 1.63
8 N 0.5000 0.5000 0.5000  2 P 1.65
9 N 0.5918 0.8713 0.2119  1 P 1.63
10 N 0.8508 0.8508 0.7084  1 P 1.62
11 N 0.8713 0.5918 0.2119  1 P 1.63

The value obtained for the volume is 156.4 Å³ per cell. The total magnetization is 0.62 μB per cell. As for the symmetry: C2/m (12). The calculation puts the electronic total energy at -7.82 eV/atom. As for the crystal system: monoclinic. Its raw formation energy is -0.46 eV/atom. The density of states at the Fermi level comes out at 6.02 states/eV per cell.